A geometry-optimized NaGdBi structure. Source: the Open Quantum Materials Database, functional GGA-PBE.

Lattice parameters (Å, degrees): 5.188 5.188 5.188 60.00 60.00 60.00
Fractional coordinates of all 3 atoms:
Na  0.000  0.000  0.000
Gd  0.500  0.500  0.500
Bi  0.750  0.750  0.750

Results
Calculated total energy: -3.691 eV per atom
SG: F-43m